VASP calculation (PBE-GGA) on NbVGe4 after structural relaxation.

a b c (Å): 9.0805 3.3494 6.6893
angles (deg): 90.00 111.61 90.00
Space group C2/m (No. 12)
Symmetry-distinct sites (fractional):
Nb1 0.0000 0.0000 0.0000 [2 per cell]
V1 0.0000 0.0000 0.5000 [2 per cell]
Ge1 0.1608 0.5000 0.3391 [4 per cell]
Ge2 0.1626 0.5000 0.8227 [4 per cell]

Calculated values
crystal system	monoclinic
formation energy	-4.56	kcal/mol of atoms
spin magnetization	0.00	Bohr magnetons per cell

---

VASP calculation (PBE-GGA) on NbVGeW2 after structural relaxation.

a b c (Å): 4.5935 4.5935 4.4432
angles (deg): 90.00 90.00 90.00
Space group P4/mmm (No. 123)
Symmetry-distinct sites (fractional):
Nb1 0.0000 0.0000 0.0000 [1 per cell]
V1 0.5000 0.5000 0.5000 [1 per cell]
Ge1 0.5000 0.5000 0.0000 [1 per cell]
W1 0.0000 0.5000 0.5000 [2 per cell]

Calculated values
crystal system	tetragonal
formation energy	31.02	kcal/mol of atoms
spin magnetization	0.00	Bohr magnetons per cell

---

VASP calculation (PBE-GGA) on Nb2GeW2 after structural relaxation.

a b c (Å): 4.2602 4.2602 11.2275
angles (deg): 90.00 90.00 90.00
Space group I4/mmm (No. 139)
Symmetry-distinct sites (fractional):
Nb1 0.0000 0.5000 0.2500 [4 per cell]
Ge1 0.0000 0.0000 0.0000 [2 per cell]
W1 0.0000 0.0000 0.3899 [4 per cell]

Calculated values
crystal system	tetragonal
formation energy	23.33	kcal/mol of atoms
spin magnetization	0.00	Bohr magnetons per cell

---

VASP calculation (PBE-GGA) on Nb2GeW after structural relaxation.

a b c (Å): 7.2634 7.2634 5.5553
angles (deg): 90.00 90.00 90.00
Space group I-42d (No. 122)
Symmetry-distinct sites (fractional):
Nb1 0.2460 0.2500 0.1250 [8 per cell]
Ge1 0.0000 0.0000 0.0000 [4 per cell]
W1 0.0000 0.0000 0.5000 [4 per cell]

Calculated values
crystal system	tetragonal
formation energy	13.88	kcal/mol of atoms
spin magnetization	0.00	Bohr magnetons per cell